Material: CaSb2P
Method: DFT, GGA-PBE
State: optimized geometry

```
CaSb2P
1.0
1.9597 1.1315 8.0192
-1.9597 1.1315 8.0192
0.0000 -2.2629 8.0192
Ca Sb P
1 2 1
Direct
0.0000 0.0000 0.0000 Ca
0.2349 0.2349 0.2349 Sb
0.7651 0.7651 0.7651 Sb
0.5000 0.5000 0.5000 P
```

Computed properties:
Its crystal system is trigonal. The total magnetization comes out at 0.0 μB per cell. For the uncorrected formation energy, the calculation gives -0.64 eV per formula unit.

=====

Material: Na2Sr4Zn
Method: DFT, GGA-PBE
State: optimized geometry

```
Na2Sr4Zn
1.0
7.6264 0.0000 0.0000
0.0000 4.2479 0.0000
-3.7205 0.0000 10.1138
Na Sr Zn
2 4 1
Direct
0.2232 0.0000 0.0005 Na
0.7768 0.0000 0.9995 Na
0.1752 0.0000 0.3668 Sr
0.3711 0.5000 0.7473 Sr
0.6289 0.5000 0.2527 Sr
0.8248 0.0000 0.6332 Sr
0.5000 0.5000 0.5000 Zn
```

Computed properties:
For the formation energy, the calculation gives 0.02 eV per atom. Its crystal system is monoclinic. The total magnetization comes out at 0.0 μB per cell. For the energy above the most stable polymorph in this dataset, the calculation gives 0.00 eV per formula unit.

=====

| no. | total energy (eV/atom) |
| --- | --- |
| 1 | -4.074 |
| 2 | -1.498 |